1.
The following is a PBE-GGA calculation of a geometry-optimized Ho2TmIn3Te6 structure, from Alexandria.

Structure (extended XYZ):
```
12
Lattice="-0.486 -7.504 -1.134 -0.123 2.793 7.072 -7.888 2.150 -2.349" Properties=species:S:1:pos:R:3 pbc="T T T"
Te -1.793 1.051 2.264
Te -1.914 -2.361 -0.456
Te -6.583 -0.200 4.045
Te -6.331 0.463 -0.301
Te -6.703 -3.613 1.326
Te -2.166 -3.024 3.890
In -4.369 -4.706 -0.935
In -4.248 -1.281 1.795
In -4.128 2.144 4.524
Ho -0.365 -4.070 1.603
Ho -0.244 -0.641 4.336
Tm 0.000 0.000 0.000
```

Calculated values
Fermi-level density of states: 0.877 states/eV/cell
Calculated total energy: -4.347 eV per atom
Formation energy from raw total energies: -11.47 eV/f.u.


2.
The following is a PBE-GGA calculation of a geometry-optimized Ho3TmIn4Te8 structure, from Alexandria.

Structure (extended XYZ):
```
16
Lattice="8.782 0.000 0.000 0.000 9.556 0.541 -4.391 -4.390 6.211" Properties=species:S:1:pos:R:3 pbc="T T T"
In 0.000 0.000 0.000
In 2.195 -2.195 3.106
In -2.195 -2.195 3.106
In 4.391 0.000 0.000
Tm 0.000 4.778 0.270
Ho 2.195 2.583 3.376
Ho 4.391 4.778 0.270
Ho -2.195 2.583 3.376
Te 6.598 2.614 0.282
Te 0.000 4.759 3.348
Te -2.207 2.553 6.470
Te 4.391 0.408 3.404
Te 0.000 0.407 3.388
Te 2.183 2.614 0.282
Te 2.207 2.553 6.470
Te 4.391 4.759 3.363
```

Calculated values
Fermi-level density of states: 0.667 states/eV/cell
Calculated total energy: -4.351 eV per atom
Formation energy from raw total energies: -15.32 eV/f.u.


3.
The following is a PBE-GGA calculation of a geometry-optimized Ho3UIn3Te8 structure, from Alexandria.

Structure (extended XYZ):
```
15
Lattice="8.736 0.000 0.000 -4.368 7.566 -0.030 0.000 -5.012 8.183" Properties=species:S:1:pos:R:3 pbc="T T T"
Ho 2.184 1.277 4.076
Ho 4.368 -2.506 4.091
Ho -2.184 1.277 4.076
Te 2.185 3.812 5.836
Te 2.183 -1.258 2.317
Te 4.368 0.031 5.861
Te -2.185 3.812 5.836
Te 0.000 2.523 2.292
Te 0.000 0.019 5.858
Te 6.554 -1.258 2.317
Te 4.368 2.535 2.295
In -2.184 3.783 -0.015
In 0.000 0.000 0.000
In 2.184 3.783 -0.015
U 0.000 -2.506 4.091
```

Calculated values
Fermi-level density of states: 5.605 states/eV/cell
Calculated total energy: -4.782 eV per atom
Formation energy from raw total energies: -13.36 eV/f.u.


4.
The following is a PBE-GGA calculation of a geometry-optimized Ho2UIn3Te6 structure, from Alexandria.

Structure (extended XYZ):
```
12
Lattice="-3.553 -6.165 2.726 4.623 4.038 4.514 -6.670 5.365 -0.112" Properties=species:S:1:pos:R:3 pbc="T T T"
U 0.000 0.000 0.000
Te -5.774 0.852 5.097
Te -0.672 -0.390 5.298
Te 0.174 2.386 2.030
Te -3.013 4.297 5.701
Te -4.928 3.628 1.829
Te -2.587 -1.059 1.427
In -0.065 5.032 4.162
In -5.535 -1.794 2.965
In -2.800 1.619 3.564
Ho 1.899 0.639 3.918
Ho -0.829 -2.766 3.322
```

Calculated values
Fermi-level density of states: 4.551 states/eV/cell
Calculated total energy: -4.736 eV per atom
Formation energy from raw total energies: -9.32 eV/f.u.


5.
The following is a PBE-GGA calculation of a geometry-optimized Ho2ThIn structure, from Alexandria.

Structure (extended XYZ):
```
4
Lattice="-0.165 -1.919 2.982 2.790 -1.946 1.016 4.692 7.121 6.956" Properties=species:S:1:pos:R:3 pbc="T T T"
Th 3.659 1.628 5.477
In 0.000 0.000 0.000
Ho 1.794 0.736 2.687
Ho 5.523 2.519 8.267
```

Calculated values
Formation enthalpy at 0 K: -0.66 eV/f.u.
Fermi-level density of states: 3.723 states/eV/cell
Energy above the lowest structure with this stoichiometry: 80.8 meV per atom
Calculated total energy: -4.993 eV per atom


6.
The following is a PBE-GGA calculation of a geometry-optimized Ho8Th2In structure, from Alexandria.

Structure (extended XYZ):
```
11
Lattice="5.635 -0.437 -0.305 0.514 9.514 2.516 0.514 5.637 8.067" Properties=species:S:1:pos:R:3 pbc="T T T"
In 0.000 0.000 0.000
Th 4.432 3.886 2.714
Th 2.230 10.828 7.564
Ho 1.890 8.226 5.746
Ho 4.844 10.062 5.075
Ho 5.183 12.236 8.547
Ho 1.478 2.478 1.731
Ho 4.771 6.488 4.532
Ho 4.844 8.228 7.701
Ho 1.818 6.486 2.577
Ho 1.818 4.652 5.203
```

Calculated values
Formation enthalpy at 0 K: 0.98 eV/f.u.
Fermi-level density of states: 15.315 states/eV/cell
Calculated total energy: -4.838 eV per atom